# 1
MnCdHN: optimized geometry, PBE-GGA.

Properties
total DFT energy (no corrections): -5.3782 eV per atom
calculated volume: 100.3 Å³ per cell
space-group type: No. 8

a b c (Å): 7.227 2.873 4.943
angles (deg): 90.00 102.15 90.00
Positions (direct):
Mn 0.122 0.000 0.088
Mn 0.122 0.500 0.588
Cd 0.647 0.000 0.603
Cd 0.647 0.500 0.103
H 0.264 0.000 0.463
H 0.264 0.500 0.963
N 0.998 0.000 0.715
N 0.998 0.500 0.215

=====

# 2
Cs2RbAg: optimized geometry, PBE-GGA.

Properties
total DFT energy (no corrections): -1.3442 eV per atom
energy of formation from the pure elements: 37 meV/atom
calculated volume: 313.1 Å³ per cell
space-group type: No. 160

a b c (Å): 5.293 5.293 13.262
angles (deg): 78.49 78.49 60.00
Positions (direct):
Cs 0.056 0.056 0.832
Cs 0.277 0.277 0.168
Rb 0.501 0.501 0.498
Ag 0.666 0.666 0.001